No. 1
This record from Alexandria describes ZrAlCd after structural relaxation. The functional is PBE. Values from VASP.

The structure in Quantum ESPRESSO input format:
```
&SYSTEM
  ibrav = 0, nat = 6, ntyp = 3
/
ATOMIC_SPECIES
Cd 112.41 Cd.upf
Zr 91.22 Zr.upf
Al 26.98 Al.upf
CELL_PARAMETERS angstrom
4.070 0.000 0.000
0.000 4.070 0.000
-2.035 -2.035 7.356
ATOMIC_POSITIONS angstrom
Cd 0.000 2.035 0.000
Zr 2.035 2.035 2.530
Al 2.035 2.035 5.317
Zr 0.000 0.000 4.826
Cd 2.035 0.000 0.000
Al 0.000 0.000 2.040
```

## Properties
- symmetry = I4/mmm, No. 139
- DOS at the Fermi energy (states/eV/cell) = 3.2
- final energy (eV/cell) = -27.8
- theoretical density (g/cm³) = 6.29

=====

No. 2
This record from Alexandria describes Zr2AlCd after structural relaxation. The functional is PBE. Values from VASP.

The structure in Quantum ESPRESSO input format:
```
&SYSTEM
  ibrav = 0, nat = 4, ntyp = 3
/
ATOMIC_SPECIES
Al 26.98 Al.upf
Cd 112.41 Cd.upf
Zr 91.22 Zr.upf
CELL_PARAMETERS angstrom
5.874 0.018 0.032
4.973 3.126 0.032
2.196 0.636 4.560
ATOMIC_POSITIONS angstrom
Al 6.605 1.914 2.249
Cd 3.128 0.907 1.241
Zr 10.822 3.137 0.066
Zr 9.855 2.856 3.442
```

## Properties
- symmetry = Cm, No. 8
- DOS at the Fermi energy (states/eV/cell) = 2.6
- final energy (eV/cell) = -22.6
- theoretical density (g/cm³) = 6.43

=====

No. 3
This record from Alexandria describes ZrAlCd2 after structural relaxation. The functional is PBE. Values from VASP.

The structure in Quantum ESPRESSO input format:
```
&SYSTEM
  ibrav = 0, nat = 4, ntyp = 3
/
ATOMIC_SPECIES
Cd 112.41 Cd.upf
Zr 91.22 Zr.upf
Al 26.98 Al.upf
CELL_PARAMETERS angstrom
5.548 -0.003 0.000
2.391 5.006 0.000
-3.969 -2.502 2.960
ATOMIC_POSITIONS angstrom
Cd 3.969 2.502 0.000
Zr 1.195 2.503 1.480
Cd 0.000 0.000 0.000
Al 2.774 -0.001 1.480
```

## Properties
- symmetry = I4/mmm, No. 139
- DOS at the Fermi energy (states/eV/cell) = 1.9
- final energy (eV/cell) = -14.5
- theoretical density (g/cm³) = 6.93

=====

No. 4
This record from Alexandria describes ZrAlCd3 after structural relaxation. The functional is PBE. Values from VASP.

The structure in Quantum ESPRESSO input format:
```
&SYSTEM
  ibrav = 0, nat = 5, ntyp = 3
/
ATOMIC_SPECIES
Zr 91.22 Zr.upf
Al 26.98 Al.upf
Cd 112.41 Cd.upf
CELL_PARAMETERS angstrom
4.974 0.000 0.000
0.000 4.974 0.000
0.000 0.000 4.974
ATOMIC_POSITIONS angstrom
Zr 2.487 2.487 2.487
Al 0.000 0.000 0.000
Cd 0.000 2.487 0.000
Cd 0.000 0.000 2.487
Cd 2.487 0.000 0.000
```

## Properties
- symmetry = Pm-3m, No. 221
- DOS at the Fermi energy (states/eV/cell) = 2.3
- final energy (eV/cell) = -11.9
- theoretical density (g/cm³) = 6.15

=====

No. 5
This record from Alexandria describes ZrAlCd2 after structural relaxation. The functional is PBE. Values from VASP.

The structure in Quantum ESPRESSO input format:
```
&SYSTEM
  ibrav = 0, nat = 4, ntyp = 3
/
ATOMIC_SPECIES
Zr 91.22 Zr.upf
Cd 112.41 Cd.upf
Al 26.98 Al.upf
CELL_PARAMETERS angstrom
-3.346 2.064 2.056
-1.964 -2.147 -1.041
0.009 -4.388 4.420
ATOMIC_POSITIONS angstrom
Zr -1.068 -3.515 1.792
Cd -2.050 -0.439 1.891
Al -3.538 -4.163 3.209
Cd -1.588 -1.768 -0.810
```

## Properties
- symmetry = Pm, No. 6
- DOS at the Fermi energy (states/eV/cell) = 2.6
- final energy (eV/cell) = -14.6
- theoretical density (g/cm³) = 6.89

=====

No. 6
This record from Alexandria describes ZrAl2Cd after structural relaxation. The functional is PBE. Values from VASP.

The structure in Quantum ESPRESSO input format:
```
&SYSTEM
  ibrav = 0, nat = 4, ntyp = 3
/
ATOMIC_SPECIES
Cd 112.41 Cd.upf
Al 26.98 Al.upf
Zr 91.22 Zr.upf
CELL_PARAMETERS angstrom
-4.986 7.929 3.077
-5.262 6.176 5.600
-2.746 7.914 5.197
ATOMIC_POSITIONS angstrom
Cd -3.248 5.505 3.468
Al -6.492 11.002 6.932
Al -0.005 0.008 0.005
Zr -9.745 16.514 10.405
```

## Properties
- symmetry = R-3m, No. 166
- DOS at the Fermi energy (states/eV/cell) = 2.9
- final energy (eV/cell) = -17.2
- theoretical density (g/cm³) = 5.35

=====

No. 7
This record from Alexandria describes ZrAl2Cd after structural relaxation. The functional is PBE. Values from VASP.

The structure in Quantum ESPRESSO input format:
```
&SYSTEM
  ibrav = 0, nat = 4, ntyp = 3
/
ATOMIC_SPECIES
Al 26.98 Al.upf
Cd 112.41 Cd.upf
Zr 91.22 Zr.upf
CELL_PARAMETERS angstrom
-0.186 -0.676 -3.030
3.097 0.162 -0.226
0.537 -7.871 1.724
ATOMIC_POSITIONS angstrom
Al 0.272 -3.986 0.873
Al 0.533 -7.820 1.713
Cd 1.590 -2.225 -1.197
Zr 1.858 -6.160 -0.335
```

## Properties
- symmetry = P4/mmm, No. 123
- DOS at the Fermi energy (states/eV/cell) = 1.7
- final energy (eV/cell) = -17.4
- theoretical density (g/cm³) = 5.48

=====

No. 8
This record from Alexandria describes ZrAlCd after structural relaxation. The functional is PBE. Values from VASP.

The structure in Quantum ESPRESSO input format:
```
&SYSTEM
  ibrav = 0, nat = 3, ntyp = 3
/
ATOMIC_SPECIES
Al 26.98 Al.upf
Zr 91.22 Zr.upf
Cd 112.41 Cd.upf
CELL_PARAMETERS angstrom
-0.452 2.560 -3.757
2.197 -1.162 -3.834
-2.344 -1.595 -3.582
ATOMIC_POSITIONS angstrom
Al -0.150 -0.049 -2.793
Zr -0.300 -0.099 -5.587
Cd 0.000 0.000 0.000
```

## Properties
- symmetry = F-43m, No. 216
- DOS at the Fermi energy (states/eV/cell) = 2.2
- final energy (eV/cell) = -12.9
- theoretical density (g/cm³) = 5.68